Record 1
Computed, not measured: an optimized crystal structure of BC3 at the GGA-PBE level of DFT.

## Properties
**Spin magnetization**: 0.00 Bohr magnetons per cell
**Calculated total energy**: -8.27 eV/atom
**Energy of formation**: 315.2 meV/atom
**ΔE to the lowest computed polymorph**: 74.5 meV per atom
**Space-group type**: No. 156

a = 2.609 Å, b = 2.609 Å, c = 14.117 Å
α = 90.00°, β = 90.00°, γ = 120.00°
Atoms (fractional coordinates):
B 0.667 0.333 0.647
B 0.667 0.333 0.324
C 0.333 0.667 0.063
C 0.000 0.000 0.028
C 0.000 0.000 0.372
C 0.000 0.000 0.910
C 0.333 0.667 0.174
C 0.333 0.667 0.516
B 0.667 0.333 0.896
C 0.000 0.000 0.478
C 0.667 0.333 0.210
C 0.333 0.667 0.632

---

Record 2
Computed, not measured: an optimized crystal structure of SiRhCl3 at the GGA-PBE level of DFT.

## Properties
**Spin magnetization**: 0.00 Bohr magnetons per cell
**Calculated total energy**: -3.46 eV/atom
**Energy relative to the elements, uncorrected**: 0.20 eV/atom
**ΔE to the lowest computed polymorph**: 0.0 meV per atom
**Space-group type**: No. 221

a = 4.781 Å, b = 4.781 Å, c = 4.781 Å
α = 90.00°, β = 90.00°, γ = 90.00°
Atoms (fractional coordinates):
Cl 0.000 0.000 0.500
Cl 0.000 0.500 0.000
Cl 0.500 0.000 0.000
Si 0.500 0.500 0.500
Rh 0.000 0.000 0.000

---

Record 3
Computed, not measured: an optimized crystal structure of Cd2InSn at the GGA-PBE level of DFT.

## Properties
**Spin magnetization**: 0.00 Bohr magnetons per cell
**Calculated total energy**: -2.07 eV/atom
**Energy of formation**: 75.9 meV/atom
**ΔE to the lowest computed polymorph**: 37.9 meV per atom
**Space-group type**: No. 122

a = 4.404 Å, b = 4.404 Å, c = 11.352 Å
α = 78.81°, β = 78.81°, γ = 90.00°
Atoms (fractional coordinates):
Cd 0.375 0.378 0.750
Sn 0.750 0.250 0.500
Cd 0.128 0.625 0.250
Cd 0.875 0.872 0.750
Cd 0.622 0.125 0.250
In 0.500 0.500 0.000
In 0.250 0.750 0.500
Sn 0.000 0.000 0.000

---

Record 4
Computed, not measured: an optimized crystal structure of SiAs2Os at the GGA-PBE level of DFT.

## Properties
**Spin magnetization**: 0.00 Bohr magnetons per cell
**Calculated total energy**: -5.79 eV/atom
**Energy relative to the elements, uncorrected**: 0.69 eV/atom
**Space-group type**: No. 123

a = 4.701 Å, b = 3.735 Å, c = 3.735 Å
α = 90.00°, β = 90.00°, γ = 90.00°
Atoms (fractional coordinates):
Si 0.500 0.000 0.500
As 0.000 0.000 0.000
Os 0.500 0.500 0.000
As 0.000 0.500 0.500

---

Record 5
Computed, not measured: an optimized crystal structure of AgPt3 at the GGA-PBE level of DFT.

## Properties
**Spin magnetization**: 0.00 Bohr magnetons per cell
**Calculated total energy**: -5.21 eV/atom
**Energy of formation**: 35.8 meV/atom
**Space-group type**: No. 47

a = 2.791 Å, b = 4.052 Å, c = 5.689 Å
α = 90.00°, β = 90.00°, γ = 90.00°
Atoms (fractional coordinates):
Pt 0.000 0.000 0.500
Pt 0.500 0.500 0.742
Ag 0.000 0.000 0.000
Pt 0.500 0.500 0.258

---

Record 6
Computed, not measured: an optimized crystal structure of BeZn2Ag at the GGA-PBE level of DFT.

## Properties
**Spin magnetization**: 0.00 Bohr magnetons per cell
**Calculated total energy**: -2.16 eV/atom
**Energy of formation**: 119.7 meV/atom
**Space-group type**: No. 12

a = 4.897 Å, b = 4.897 Å, c = 4.484 Å
α = 70.21°, β = 70.21°, γ = 33.21°
Atoms (fractional coordinates):
Zn 0.024 0.024 0.975
Be 0.750 0.750 0.750
Ag 0.250 0.250 0.250
Zn 0.476 0.476 0.525